Computed, not measured: a PBEsol-optimized structure of SrReNi2 at the SCAN level of DFT.

a = 4.495 Å, b = 4.495 Å, c = 4.495 Å
α = 60.00°, β = 60.00°, γ = 60.00°
Element x y z (fractional)
Ni 0.750 0.750 0.750
Ni 0.250 0.250 0.250
Sr 0.000 0.000 0.000
Re 0.500 0.500 0.500

For the total DFT energy (no corrections), the calculation gives -30.523 eV/atom. The formation energy comes out at 0.907 eV per atom. The density of states at the Fermi level is 3.89 states/eV per cell. The total magnetization comes out at 3.8 μB/cell.